Record 1
Density functional theory data (GGA+U) for a relaxed KCrF crystal.

Output
Energy above the most stable polymorph in this dataset (eV per atom): 0.000
Total energy (eV/cell): -28.5
Density (g cm⁻³): 2.80

abc: 3.838 3.825 8.890
angles: 90.02 90.01 89.99
Atoms (fractional coordinates):
1 K 0.302 0.932 0.690
2 K 0.801 0.430 0.998
3 Cr 0.801 0.432 0.424
4 Cr 0.301 0.931 0.264
5 F 0.301 0.930 0.997
6 F 0.802 0.432 0.691

Record 2
Density functional theory data (GGA+U) for a relaxed K4LiCr3F12 crystal.

Output
Total energy (eV/cell): -107.0
Density (g cm⁻³): 3.17

abc: 7.194 7.194 7.194
angles: 109.47 109.47 109.47
Atoms (fractional coordinates):
1 K 0.500 0.000 0.000
2 K 0.000 0.000 0.500
3 K 0.500 0.500 0.500
4 K 0.000 0.500 0.000
5 F 0.740 0.740 0.000
6 F 0.000 0.260 0.260
7 F 0.740 0.000 0.740
8 F 0.500 0.250 0.750
9 F 0.500 0.750 0.250
10 F 0.260 0.260 0.000
11 F 0.260 0.000 0.260
12 F 0.000 0.740 0.740
13 F 0.250 0.750 0.500
14 F 0.750 0.500 0.250
15 F 0.250 0.500 0.750
16 F 0.750 0.250 0.500
17 Li 0.000 0.000 0.000
18 Cr 0.500 0.000 0.500
19 Cr 0.500 0.500 0.000
20 Cr 0.000 0.500 0.500

Record 3
Density functional theory data (GGA+U) for a relaxed K2LiCrF6 crystal.

Output
Total energy (eV/cell): -51.8
Density (g cm⁻³): 3.12

abc: 5.741 5.741 5.741
angles: 60.00 60.00 60.00
Atoms (fractional coordinates):
1 F 0.259 0.741 0.259
2 F 0.741 0.741 0.259
3 F 0.741 0.259 0.741
4 F 0.259 0.741 0.741
5 F 0.741 0.259 0.259
6 F 0.259 0.259 0.741
7 Li 0.000 0.000 0.000
8 Cr 0.500 0.500 0.500
9 K 0.250 0.250 0.250
10 K 0.750 0.750 0.750

Record 4
Density functional theory data (GGA+U) for a relaxed KLiCrF6 crystal.

Output
Total energy (eV/cell): -91.8
Density (g cm⁻³): 2.57

abc: 5.255 5.255 11.456
angles: 90.00 90.00 120.00
Atoms (fractional coordinates):
1 F 0.644 0.031 0.343
2 F 0.969 0.356 0.157
3 F 0.356 0.969 0.657
4 F 0.969 0.613 0.343
5 F 0.031 0.644 0.843
6 F 0.613 0.644 0.657
7 F 0.387 0.031 0.157
8 F 0.031 0.387 0.657
9 F 0.613 0.969 0.843
10 F 0.644 0.613 0.157
11 F 0.387 0.356 0.343
12 F 0.356 0.387 0.843
13 Cr 0.667 0.333 0.250
14 Cr 0.333 0.667 0.750
15 K 0.000 0.000 0.500
16 K 0.000 0.000 0.000
17 Li 0.667 0.333 0.750
18 Li 0.333 0.667 0.250

Record 5
Density functional theory data (GGA+U) for a relaxed KLi2CrF8 crystal.

Output
Total energy (eV/cell): -57.0
Density (g cm⁻³): 2.59

abc: 4.682 4.677 7.535
angles: 93.57 88.15 89.62
Atoms (fractional coordinates):
1 Li 0.492 0.479 0.811
2 Li 0.508 0.521 0.189
3 F 0.809 0.217 0.185
4 F 0.191 0.783 0.815
5 F 0.294 0.269 0.005
6 F 0.467 0.326 0.565
7 F 0.175 0.799 0.172
8 F 0.706 0.731 0.995
9 F 0.825 0.201 0.828
10 F 0.533 0.674 0.435
11 Cr 0.000 0.000 0.000
12 K 0.000 0.000 0.500

Record 6
Density functional theory data (GGA+U) for a relaxed K3LiCr2F9 crystal.

Output
Total energy (eV/cell): -78.9
Density (g cm⁻³): 3.19

abc: 5.803 5.803 7.133
angles: 90.00 90.00 120.00
Atoms (fractional coordinates):
1 Cr 0.333 0.667 0.169
2 Cr 0.667 0.333 0.831
3 F 0.169 0.831 0.326
4 F 0.169 0.338 0.326
5 F 0.662 0.831 0.326
6 F 0.000 0.500 0.000
7 F 0.500 0.000 0.000
8 F 0.500 0.500 0.000
9 F 0.338 0.169 0.674
10 F 0.831 0.169 0.674
11 F 0.831 0.662 0.674
12 K 0.333 0.667 0.648
13 K 0.667 0.333 0.352
14 K 0.000 0.000 0.000
15 Li 0.000 0.000 0.500

Record 7
Density functional theory data (GGA+U) for a relaxed K2Li3CrF12 crystal.

Output
Total energy (eV/cell): -78.0
Density (g cm⁻³): 2.32

abc: 7.678 7.678 7.678
angles: 53.45 53.45 53.45
Atoms (fractional coordinates):
1 Li 0.000 0.000 0.500
2 Li 0.000 0.500 0.000
3 Li 0.500 0.000 0.000
4 Cr 0.000 0.000 0.000
5 F 0.073 0.073 0.700
6 F 0.668 0.078 0.668
7 F 0.078 0.668 0.668
8 F 0.922 0.332 0.332
9 F 0.927 0.927 0.300
10 F 0.700 0.073 0.073
11 F 0.300 0.927 0.927
12 F 0.073 0.700 0.073
13 F 0.332 0.332 0.922
14 F 0.927 0.300 0.927
15 F 0.668 0.668 0.078
16 F 0.332 0.922 0.332
17 K 0.404 0.404 0.404
18 K 0.596 0.596 0.596

Record 8
Density functional theory data (GGA+U) for a relaxed KMgCr2F8 crystal.

Output
Total energy (eV/cell): -64.4
Density (g cm⁻³): 2.86

abc: 5.388 5.388 7.366
angles: 90.00 90.00 120.00
Atoms (fractional coordinates):
1 F 0.672 0.963 0.358
2 F 0.709 0.672 0.642
3 F 0.333 0.667 0.905
4 F 0.291 0.328 0.358
5 F 0.667 0.333 0.095
6 F 0.328 0.037 0.642
7 F 0.963 0.291 0.642
8 F 0.037 0.709 0.358
9 Cr 0.333 0.667 0.653
10 Cr 0.667 0.333 0.347
11 K 0.000 0.000 0.000
12 Mg 0.000 0.000 0.500

Record 9
Density functional theory data (GGA+U) for a relaxed K3Mn2CrF9 crystal.

Output
Total energy (eV/cell): -83.1
Density (g cm⁻³): 3.25

abc: 6.014 6.014 7.353
angles: 90.00 90.00 120.00
Atoms (fractional coordinates):
1 Mn 0.667 0.333 0.833
2 Mn 0.333 0.667 0.167
3 Cr 0.000 0.000 0.500
4 F 0.000 0.500 0.000
5 F 0.167 0.333 0.334
6 F 0.333 0.167 0.666
7 F 0.500 0.500 0.000
8 F 0.833 0.167 0.666
9 F 0.833 0.667 0.666
10 F 0.667 0.833 0.334
11 F 0.500 0.000 0.000
12 F 0.167 0.833 0.334
13 K 0.333 0.667 0.665
14 K 0.000 0.000 0.000
15 K 0.667 0.333 0.335

Record 10
Density functional theory data (GGA+U) for a relaxed K2MnCrF6 crystal.

Output
Total energy (eV/cell): -111.3
Density (g cm⁻³): 3.23

abc: 6.083 6.080 8.326
angles: 90.00 90.00 90.00
Atoms (fractional coordinates):
1 F 0.000 0.750 0.758
2 F 0.500 0.250 0.258
3 F 0.746 0.496 0.000
4 F 0.254 0.496 0.000
5 F 0.000 0.750 0.242
6 F 0.754 0.504 0.500
7 F 0.246 0.504 0.500
8 F 0.254 0.004 0.000
9 F 0.754 0.996 0.500
10 F 0.246 0.996 0.500
11 F 0.500 0.250 0.742
12 F 0.746 0.004 0.000
13 K 0.000 0.250 0.250
14 K 0.000 0.250 0.750
15 K 0.500 0.750 0.250
16 K 0.500 0.750 0.750
17 Cr 0.000 0.750 0.000
18 Cr 0.500 0.250 0.500
19 Mn 0.500 0.250 0.000
20 Mn 0.000 0.750 0.500

Record 11
Density functional theory data (GGA+U) for a relaxed KMnCr2F crystal.

Output
Total energy (eV/cell): -25.1
Density (g cm⁻³): 2.65

abc: 5.641 4.277 5.641
angles: 90.00 90.00 90.00
Atoms (fractional coordinates):
1 Cr 0.000 0.000 0.500
2 Cr 0.500 0.000 0.000
3 Mn 0.000 0.000 0.000
4 K 0.500 0.500 0.500
5 F 0.000 0.500 0.000

Record 12
Density functional theory data (GGA+U) for a relaxed KMnCrF6 crystal.

Output
Total energy (eV/cell): -105.0
Density (g cm⁻³): 2.90

abc: 5.531 5.531 11.240
angles: 90.00 90.00 120.00
Atoms (fractional coordinates):
1 F 0.360 0.973 0.653
2 F 0.027 0.387 0.653
3 F 0.613 0.640 0.653
4 F 0.640 0.613 0.153
5 F 0.387 0.360 0.347
6 F 0.640 0.027 0.347
7 F 0.973 0.613 0.347
8 F 0.360 0.387 0.847
9 F 0.027 0.640 0.847
10 F 0.613 0.973 0.847
11 F 0.973 0.360 0.153
12 F 0.387 0.027 0.153
13 Mn 0.333 0.667 0.250
14 Mn 0.667 0.333 0.750
15 K 0.000 0.000 0.500
16 K 0.000 0.000 0.000
17 Cr 0.667 0.333 0.250
18 Cr 0.333 0.667 0.750

Record 13
Density functional theory data (GGA+U) for a relaxed KCrMoF6 crystal.

Output
Total energy (eV/cell): -100.2
Density (g cm⁻³): 3.15

abc: 5.726 5.726 11.184
angles: 90.00 90.00 120.00
Atoms (fractional coordinates):
1 K 0.000 0.000 0.000
2 K 0.000 0.000 0.500
3 F 0.364 0.995 0.651
4 F 0.005 0.368 0.651
5 F 0.636 0.005 0.349
6 F 0.995 0.632 0.349
7 F 0.364 0.368 0.849
8 F 0.368 0.005 0.151
9 F 0.636 0.632 0.151
10 F 0.368 0.364 0.349
11 F 0.632 0.995 0.849
12 F 0.632 0.636 0.651
13 F 0.995 0.364 0.151
14 F 0.005 0.636 0.849
15 Mo 0.333 0.667 0.750
16 Mo 0.667 0.333 0.250
17 Cr 0.667 0.333 0.750
18 Cr 0.333 0.667 0.250

Record 14
Density functional theory data (GGA+U) for a relaxed KCrNF2 crystal.

Output
Energy above the most stable polymorph in this dataset (eV per atom): 0.000
Total energy (eV/cell): -28.1
Density (g cm⁻³): 3.39

abc: 4.306 4.306 3.781
angles: 90.00 90.00 90.00
Atoms (fractional coordinates):
1 N 0.000 0.000 0.500
2 F 0.000 0.500 0.000
3 F 0.500 0.000 0.000
4 K 0.500 0.500 0.500
5 Cr 0.000 0.000 0.000

Record 15
Density functional theory data (GGA+U) for a relaxed KCrNF2 crystal.

Output
Energy above the most stable polymorph in this dataset (eV per atom): 1.649
Total energy (eV/cell): -19.9
Density (g cm⁻³): 2.15

abc: 4.735 4.735 4.918
angles: 90.00 90.00 90.00
Atoms (fractional coordinates):
1 F 0.000 0.500 0.000
2 F 0.500 0.000 0.000
3 Cr 0.500 0.500 0.500
4 N 0.000 0.000 0.500
5 K 0.000 0.000 0.000

Record 16
Density functional theory data (GGA+U) for a relaxed KNa2CrF crystal.

Output
Total energy (eV/cell): -14.5
Density (g cm⁻³): 1.37

abc: 6.449 4.536 6.449
angles: 90.00 90.00 90.00
Atoms (fractional coordinates):
1 Na 0.500 0.000 0.000
2 Na 0.000 0.000 0.500
3 K 0.000 0.000 0.000
4 Cr 0.500 0.500 0.500
5 F 0.000 0.500 0.000

Record 17
Density functional theory data (GGA+U) for a relaxed KNa2CrF6 crystal.

Output
Energy above the most stable polymorph in this dataset (eV per atom): 0.000
Total energy (eV/cell): -101.3
Density (g cm⁻³): 2.81

abc: 5.761 6.126 8.404
angles: 90.00 89.15 90.00
Atoms (fractional coordinates):
1 Na 0.502 0.472 0.218
2 Na 0.002 0.028 0.718
3 Na 0.998 0.972 0.282
4 Na 0.498 0.528 0.782
5 F 0.632 0.248 0.618
6 F 0.122 0.370 0.802
7 F 0.378 0.870 0.698
8 F 0.132 0.252 0.118
9 F 0.296 0.644 0.024
10 F 0.704 0.356 0.976
11 F 0.878 0.630 0.198
12 F 0.368 0.752 0.382
13 F 0.204 0.144 0.476
14 F 0.868 0.748 0.882
15 F 0.622 0.130 0.302
16 F 0.796 0.856 0.524
17 K 0.500 0.000 0.000
18 K 0.000 0.500 0.500
19 Cr 0.000 0.500 0.000
20 Cr 0.500 0.000 0.500

Record 18
Density functional theory data (GGA+U) for a relaxed K4NaCr3F12 crystal.

Output
Total energy (eV/cell): -106.2
Density (g cm⁻³): 3.13

abc: 7.298 7.298 7.298
angles: 109.47 109.47 109.47
Atoms (fractional coordinates):
1 F 0.250 0.500 0.750
2 F 0.500 0.250 0.750
3 F 0.267 0.000 0.267
4 F 0.750 0.500 0.250
5 F 0.250 0.750 0.500
6 F 0.267 0.267 0.000
7 F 0.733 0.733 0.000
8 F 0.500 0.750 0.250
9 F 0.000 0.267 0.267
10 F 0.750 0.250 0.500
11 F 0.733 0.000 0.733
12 F 0.000 0.733 0.733
13 K 0.500 0.000 0.000
14 K 0.000 0.500 0.000
15 K 0.000 0.000 0.500
16 K 0.500 0.500 0.500
17 Cr 0.000 0.500 0.500
18 Cr 0.500 0.000 0.500
19 Cr 0.500 0.500 0.000
20 Na 0.000 0.000 0.000

Record 19
Density functional theory data (GGA+U) for a relaxed KNa2CrF6 crystal.

Output
Energy above the most stable polymorph in this dataset (eV per atom): 0.157
Total energy (eV/cell): -49.1
Density (g cm⁻³): 2.47

abc: 6.201 6.201 6.201
angles: 60.00 60.00 60.00
Atoms (fractional coordinates):
1 K 0.500 0.500 0.500
2 F 0.779 0.221 0.779
3 F 0.779 0.221 0.221
4 F 0.221 0.779 0.779
5 F 0.779 0.779 0.221
6 F 0.221 0.221 0.779
7 F 0.221 0.779 0.221
8 Na 0.250 0.250 0.250
9 Na 0.750 0.750 0.750
10 Cr 0.000 0.000 0.000